(1)
# BaBi2S4

A relaxed BaBi2S4 crystal (GGA-PBE, Alexandria via LeMat-Bulk).

Cell and atoms, written as extended XYZ:
```
63
Lattice="22.038 0.000 0.000 -11.019 19.085 0.000 0.000 0.000 4.176" Properties=species:S:1:pos:R:3 pbc="T T T"
S 13.568 6.041 0.000
S 7.087 10.674 2.088
S 1.716 18.298 0.000
S 6.024 14.426 2.088
Ba 15.496 4.529 2.088
Bi -3.167 18.446 0.000
Bi -3.373 7.119 0.000
S 12.590 12.458 0.000
S 9.130 13.430 0.000
S 1.014 10.393 2.088
Bi -6.722 18.982 2.088
S 3.581 12.362 0.000
Ba 0.000 12.724 0.000
S 13.142 9.282 2.088
Bi 3.592 10.584 2.088
Ba -4.431 14.516 0.000
S 18.085 4.464 0.000
S -4.486 17.089 2.088
Bi 8.781 15.416 2.088
S 19.025 1.221 2.088
Bi 14.435 11.963 2.088
Ba 10.368 11.155 2.088
S 8.854 17.354 0.000
Bi 13.157 15.272 0.000
S 1.850 5.778 2.088
Bi 14.686 8.377 0.000
S -6.940 14.594 2.088
S 1.512 14.767 2.088
S 2.564 1.999 2.088
Ba 0.000 0.000 2.088
S 3.970 8.450 0.000
Bi 4.460 6.519 2.088
S 4.954 4.674 0.000
Ba 7.193 3.401 2.088
S 5.842 1.192 0.000
S -2.525 13.011 2.088
S -0.417 2.741 0.000
Bi 2.234 3.759 0.000
Bi 14.162 0.603 2.088
Bi 0.057 16.904 2.088
S 5.090 17.799 2.088
S -1.477 16.006 0.000
Bi 6.540 12.605 0.000
Bi -2.059 3.773 2.088
S 9.467 4.315 0.000
Bi 17.666 0.055 0.000
Ba 0.663 7.990 0.000
S 11.468 15.866 2.088
Ba 3.768 15.665 0.000
Bi -3.649 10.683 2.088
Ba 11.019 6.362 2.088
Bi 10.931 2.178 0.000
S -2.104 9.803 0.000
S -8.437 18.076 0.000
S 12.486 3.063 2.088
S -5.686 11.422 0.000
S 9.250 0.801 2.088
S 10.022 8.729 0.000
S -1.537 6.656 2.088
Bi 7.440 8.530 0.000
S 7.429 6.741 2.088
S 15.513 1.954 0.000
S 16.719 7.611 2.088
```

Properties
- E_form (uncorrected): -0.898 eV/atom



(2)
# Li2ZrMn

A relaxed Li2ZrMn crystal (GGA-PBE, Alexandria via LeMat-Bulk).

Cell and atoms, written as extended XYZ:
```
8
Lattice="3.673 0.000 0.000 0.000 3.673 0.000 1.836 1.836 10.599" Properties=species:S:1:pos:R:3 pbc="T T T"
Mn 1.836 1.836 0.000
Zr 0.000 0.000 0.000
Zr 3.673 1.836 5.299
Li 1.007 2.754 2.650
Li 2.665 0.918 2.650
Li 4.591 4.502 7.949
Li 2.754 2.843 7.949
Mn 1.836 3.673 5.299
```

Properties
- Formation energy from the elements: 1.51 eV per formula unit



(3)
# Pm2Ga4Ir3Pd

A relaxed Pm2Ga4Ir3Pd crystal (GGA-PBE, Alexandria via LeMat-Bulk).

Cell and atoms, written as extended XYZ:
```
10
Lattice="-2.361 -2.512 2.500 -0.149 -2.931 -3.086 8.651 -4.395 3.755" Properties=species:S:1:pos:R:3 pbc="T T T"
Ga -1.255 -2.721 -0.293
Ga 3.137 -3.097 -0.149
Pd 3.070 -4.919 1.584
Ir 4.325 -2.197 1.877
Ga 4.258 -4.019 3.611
Pm 6.398 -4.753 1.266
Ga 0.000 0.000 0.000
Pm 0.998 -2.363 2.195
Ir 1.081 -2.052 -1.042
Ir 6.315 -5.064 4.503
```

Properties
- Formation energy from the elements: -7.36 eV per formula unit



(4)
# CdOs3N

A relaxed CdOs3N crystal (GGA-PBE, Alexandria via LeMat-Bulk).

Cell and atoms, written as extended XYZ:
```
5
Lattice="4.990 0.000 0.000 0.000 4.990 0.000 0.000 0.000 4.990" Properties=species:S:1:pos:R:3 pbc="T T T"
Os 2.495 0.000 0.000
Cd 0.000 0.000 0.000
Os 0.000 2.495 0.000
Os 0.000 0.000 2.495
N 2.495 2.495 2.495
```

Properties
- E_form (uncorrected): 4.353 eV/atom



| no. | total magnetization (Bohr magnetons per cell) |
| --- | --- |
| 1 | 0.000 |
| 2 | 3.448 |
| 3 | 0.000 |
| 4 | 9.717 |